(1)
# Sr2LaBiSb | Alexandria via LeMat-Bulk | PBE-GGA | relaxed
data_Sr2LaBiSb
_cell_length_a 6.491
_cell_length_b 6.491
_cell_length_c 5.818
_cell_angle_alpha 90.00
_cell_angle_beta 90.00
_cell_angle_gamma 90.00
_symmetry_space_group_name_H-M 'P 4/m m m'
_symmetry_Int_Tables_number 123
_symmetry_space_group_name_Hall '-P 4 2'
loop_
_atom_site_label
_atom_site_fract_x
_atom_site_fract_y
_atom_site_fract_z
Sr1 0.000 0.500 0.000
La1 0.000 0.000 0.000
Bi1 0.500 0.500 0.500
Sb1 0.000 0.000 0.500
# E, eV per cell: -13.96

=====

(2)
# La6Bi2SbTe3 | Alexandria via LeMat-Bulk | PBE-GGA | relaxed
data_La6Bi2SbTe3
_cell_length_a 20.187
_cell_length_b 4.642
_cell_length_c 9.245
_cell_angle_alpha 90.00
_cell_angle_beta 103.06
_cell_angle_gamma 90.00
_symmetry_space_group_name_H-M 'C 1 2/m 1'
_symmetry_Int_Tables_number 12
_symmetry_space_group_name_Hall '-C 2y'
loop_
_atom_site_label
_atom_site_fract_x
_atom_site_fract_y
_atom_site_fract_z
La1 0.000 0.000 0.244
La2 0.164 0.500 0.082
La3 0.167 0.500 0.583
Bi1 0.167 0.000 0.333
Sb1 0.000 0.500 0.000
Te1 0.000 0.500 0.500
Te2 0.168 0.000 0.833
# E, eV per cell: -135.04

=====

One value per record, in order, for ΔE_f (raw): 0.466 -1.387 eV per atom.